1.
DFT (GGA-PBE) results for crystalline Mg2SnIr at its relaxed geometry.

Output
SG: I-42d
ΔE_f, eV per atom: 0.097
Crystal system: tetragonal
DOS(E_F), states/eV/atom: 0.449

a b c (Å): 10.0998 10.0998 10.0998
angles (deg): 156.67 156.67 33.23
With the nearest neighbours (Å) after each atom.
Fractional positions:
Mg  0.1034  0.6250  0.9784  4 Mg 2.77-3.02, 2 Ir 2.79, 2 Sn 2.85
Mg  0.3750  0.3534  0.4784  4 Mg 2.77-3.02, 2 Ir 2.79, 2 Sn 2.85
Mg  0.6466  0.1250  0.0216  4 Mg 2.77-3.02, 2 Ir 2.79, 2 Sn 2.85
Mg  0.8750  0.8966  0.5216  4 Mg 2.77-3.02, 2 Ir 2.79, 2 Sn 2.85
Sn  0.2500  0.7500  0.5000  4 Mg 2.85, 4 Ir 2.89
Sn  0.5000  0.5000  0.0000  4 Mg 2.85, 4 Ir 2.89
Ir  0.0000  0.0000  0.0000  4 Mg 2.79, 4 Sn 2.89
Ir  0.7500  0.2500  0.5000  4 Mg 2.79, 4 Sn 2.89

2.
DFT (GGA-PBE) results for crystalline Mg2SnIr at its relaxed geometry.

Output
SG: P4/mmm
ΔE_f, eV per atom: -0.261
Crystal system: tetragonal
DOS(E_F), states/eV/atom: 0.314

a b c (Å): 3.2338 3.2338 7.2865
angles (deg): 90.00 90.00 90.00
With the nearest neighbours (Å) after each atom.
Fractional positions:
Mg  0.0000  0.0000  0.1994  4 Ir 2.71, 1 Mg 2.91
Mg  0.0000  0.0000  0.8006  4 Ir 2.71, 1 Mg 2.91
Sn  0.5000  0.5000  0.5000  8 Mg 3.17, 4 Sn 3.23
Ir  0.5000  0.5000  0.0000  8 Mg 2.71

3.
DFT (GGA-PBE) results for crystalline Mg5SnIr3 at its relaxed geometry.

Output
SG: C2/m
ΔE_f, eV per atom: -0.246
Crystal system: monoclinic
DOS(E_F), states/eV/atom: 0.281

a b c (Å): 6.7120 6.7120 8.9736
angles (deg): 103.13 103.13 91.41
With the nearest neighbours (Å) after each atom.
Fractional positions:
Mg  0.2285  0.7614  0.3303  3 Ir 2.57-2.74
Mg  0.2346  0.7654  0.0000  3 Ir 2.55-2.66
Mg  0.2381  0.2381  0.4035  4 Ir 2.62-2.69, 1 Mg 2.84
Mg  0.2386  0.7715  0.6697  3 Ir 2.57-2.74
Mg  0.2648  0.2648  0.0967  4 Ir 2.62-2.79, 1 Mg 2.84
Mg  0.7352  0.7352  0.9033  4 Ir 2.62-2.79, 1 Mg 2.84
Mg  0.7614  0.2285  0.3303  3 Ir 2.57-2.74
Mg  0.7619  0.7619  0.5965  4 Ir 2.62-2.69, 1 Mg 2.84
Mg  0.7654  0.2346  0.0000  3 Ir 2.55-2.66
Mg  0.7715  0.2386  0.6697  3 Ir 2.57-2.74
Sn  0.2579  0.2579  0.7488  4 Ir 2.63-2.73
Sn  0.7421  0.7421  0.2512  4 Ir 2.63-2.73
Ir  0.0000  0.0000  0.5000  6 Mg 2.64-2.70, 2 Sn 2.71
Ir  0.0112  0.0112  0.8469  7 Mg 2.66-2.79, 1 Sn 2.73, 1 Ir 2.82
Ir  0.4917  0.4917  0.6400  1 Ir 2.57, 5 Mg 2.57-2.70, 1 Sn 2.67
Ir  0.5000  0.5000  0.0000  4 Mg 2.55-2.62, 2 Sn 2.63
Ir  0.5083  0.5083  0.3600  1 Ir 2.57, 5 Mg 2.57-2.70, 1 Sn 2.67
Ir  0.9888  0.9888  0.1531  7 Mg 2.66-2.79, 1 Sn 2.73, 1 Ir 2.82

4.
DFT (GGA-PBE) results for crystalline Mg3Sn3Ir at its relaxed geometry.

Output
SG: P6_3/mmc
ΔE_f, eV per atom: -0.234
Crystal system: hexagonal
DOS(E_F), states/eV/atom: 0.425

a b c (Å): 8.8023 8.8023 4.5367
angles (deg): 90.00 90.00 120.00
With the nearest neighbours (Å) after each atom.
Fractional positions:
Mg  0.1156  0.5578  0.2500  2 Ir 2.81, 4 Mg 2.87
Mg  0.4422  0.5578  0.2500  2 Ir 2.81, 4 Mg 2.87
Mg  0.4422  0.8844  0.2500  2 Ir 2.81, 4 Mg 2.87
Mg  0.5578  0.1156  0.7500  2 Ir 2.81, 4 Mg 2.87
Mg  0.5578  0.4422  0.7500  2 Ir 2.81, 4 Mg 2.87
Mg  0.8844  0.4422  0.7500  2 Ir 2.81, 4 Mg 2.87
Sn  0.1509  0.3018  0.7500  1 Ir 2.78
Sn  0.1509  0.8491  0.7500  1 Ir 2.78
Sn  0.3018  0.1509  0.2500  1 Ir 2.78
Sn  0.6982  0.8491  0.7500  1 Ir 2.78
Sn  0.8491  0.1509  0.2500  1 Ir 2.78
Sn  0.8491  0.6982  0.2500  1 Ir 2.78
Ir  0.3333  0.6667  0.7500  3 Sn 2.78, 6 Mg 2.81
Ir  0.6667  0.3333  0.2500  3 Sn 2.78, 6 Mg 2.81

5.
DFT (GGA-PBE) results for crystalline MgSn3Ir3 at its relaxed geometry.

Output
SG: P2_13
ΔE_f, eV per atom: -0.122
Crystal system: cubic
DOS(E_F), states/eV/atom: 0.538

a b c (Å): 8.0629 8.0629 8.0629
angles (deg): 90.00 90.00 90.00
With the nearest neighbours (Å) after each atom.
Fractional positions:
Mg  0.0592  0.4408  0.5592  6 Ir 2.95-3.04, 5 Sn 2.96-3.18
Mg  0.4408  0.5592  0.0592  6 Ir 2.95-3.04, 5 Sn 2.96-3.18
Mg  0.5592  0.0592  0.4408  6 Ir 2.95-3.04, 5 Sn 2.96-3.18
Mg  0.9408  0.9408  0.9408  6 Ir 2.95-3.04, 5 Sn 2.96-3.18
Sn  0.1227  0.6227  0.8773  6 Ir 2.81-2.82, 3 Mg 3.00, 1 Sn 3.13
Sn  0.1530  0.1530  0.1530  6 Ir 2.72, 1 Mg 2.96
Sn  0.2128  0.7872  0.2872  6 Ir 2.72-2.96
Sn  0.2872  0.2128  0.7872  6 Ir 2.72-2.96
Sn  0.3470  0.8470  0.6530  6 Ir 2.72, 1 Mg 2.96
Sn  0.3773  0.3773  0.3773  6 Ir 2.81-2.82, 3 Mg 3.00, 1 Sn 3.13
Sn  0.6227  0.8773  0.1227  6 Ir 2.81-2.82, 3 Mg 3.00, 1 Sn 3.13
Sn  0.6530  0.3470  0.8470  6 Ir 2.72, 1 Mg 2.96
Sn  0.7128  0.7128  0.7128  6 Ir 2.72-2.96
Sn  0.7872  0.2872  0.2128  6 Ir 2.72-2.96
Sn  0.8470  0.6530  0.3470  6 Ir 2.72, 1 Mg 2.96
Sn  0.8773  0.1227  0.6227  6 Ir 2.81-2.82, 3 Mg 3.00, 1 Sn 3.13
Ir  0.0166  0.8027  0.5978  6 Sn 2.72-2.96, 2 Ir 2.94, 2 Mg 2.95-3.04
Ir  0.0978  0.4834  0.1973  6 Sn 2.72-2.96, 2 Ir 2.94, 2 Mg 2.95-3.04
Ir  0.1973  0.0978  0.4834  6 Sn 2.72-2.96, 2 Ir 2.94, 2 Mg 2.95-3.04
Ir  0.3027  0.9022  0.9834  6 Sn 2.72-2.96, 2 Ir 2.94, 2 Mg 2.95-3.04
Ir  0.4022  0.5166  0.6973  6 Sn 2.72-2.96, 2 Ir 2.94, 2 Mg 2.95-3.04
Ir  0.4834  0.1973  0.0978  6 Sn 2.72-2.96, 2 Ir 2.94, 2 Mg 2.95-3.04
Ir  0.5166  0.6973  0.4022  6 Sn 2.72-2.96, 2 Ir 2.94, 2 Mg 2.95-3.04
Ir  0.5978  0.0166  0.8027  6 Sn 2.72-2.96, 2 Ir 2.94, 2 Mg 2.95-3.04
Ir  0.6973  0.4022  0.5166  6 Sn 2.72-2.96, 2 Ir 2.94, 2 Mg 2.95-3.04
Ir  0.8027  0.5978  0.0166  6 Sn 2.72-2.96, 2 Ir 2.94, 2 Mg 2.95-3.04
Ir  0.9022  0.9834  0.3027  6 Sn 2.72-2.96, 2 Ir 2.94, 2 Mg 2.95-3.04
Ir  0.9834  0.3027  0.9022  6 Sn 2.72-2.96, 2 Ir 2.94, 2 Mg 2.95-3.04

6.
DFT (GGA-PBE) results for crystalline Mg5SnIr6 at its relaxed geometry.

Output
SG: P2/m
ΔE_f, eV per atom: -0.332
Crystal system: monoclinic
DOS(E_F), states/eV/atom: 0.789

a b c (Å): 4.4315 6.3126 7.0023
angles (deg): 90.00 108.58 90.00
With the nearest neighbours (Å) after each atom.
Fractional positions:
Mg  0.0000  0.0000  0.0000  8 Ir 2.71-2.72
Mg  0.3302  0.5000  0.6607  8 Ir 2.69-2.76
Mg  0.3335  0.0000  0.6677  8 Ir 2.71
Mg  0.6665  0.0000  0.3323  8 Ir 2.71
Mg  0.6698  0.5000  0.3393  8 Ir 2.69-2.76
Sn  0.0000  0.5000  0.0000  8 Ir 2.73
Ir  0.1674  0.2478  0.3339  7 Mg 2.69-2.73, 1 Sn 2.73
Ir  0.1674  0.7522  0.3339  7 Mg 2.69-2.73, 1 Sn 2.73
Ir  0.5000  0.2486  0.0000  6 Mg 2.71-2.76, 2 Sn 2.73
Ir  0.5000  0.7514  0.0000  6 Mg 2.71-2.76, 2 Sn 2.73
Ir  0.8326  0.2478  0.6661  7 Mg 2.69-2.73, 1 Sn 2.73
Ir  0.8326  0.7522  0.6661  7 Mg 2.69-2.73, 1 Sn 2.73

7.
DFT (GGA-PBE) results for crystalline Mg3SnIr4 at its relaxed geometry.

Output
SG: Pmmm
ΔE_f, eV per atom: -0.332
Crystal system: orthorhombic
DOS(E_F), states/eV/atom: 0.311

a b c (Å): 3.1942 4.4361 8.8560
angles (deg): 90.00 90.00 90.00
With the nearest neighbours (Å) after each atom.
Fractional positions:
Mg  0.0000  0.0000  0.0000  8 Ir 2.73-2.74
Mg  0.0000  0.5000  0.2416  8 Ir 2.67-2.79
Mg  0.0000  0.5000  0.7584  8 Ir 2.67-2.79
Sn  0.0000  0.0000  0.5000  8 Ir 2.72-2.73
Ir  0.5000  0.0000  0.2515  2 Sn 2.72, 6 Mg 2.73-2.74
Ir  0.5000  0.0000  0.7485  2 Sn 2.72, 6 Mg 2.73-2.74
Ir  0.5000  0.5000  0.0000  8 Mg 2.67-2.73
Ir  0.5000  0.5000  0.5000  4 Sn 2.73, 4 Mg 2.79

8.
DFT (GGA-PBE) results for crystalline Mg4Sn2Ir at its relaxed geometry.

Output
SG: I4/mmm
ΔE_f, eV per atom: 0.075
Crystal system: tetragonal
DOS(E_F), states/eV/atom: 0.649

a b c (Å): 8.1795 8.1795 8.1795
angles (deg): 144.80 144.80 50.63
With the nearest neighbours (Å) after each atom.
Fractional positions:
Mg  0.0000  0.5000  0.5000  2 Ir 2.47
Mg  0.1736  0.1736  0.0000  1 Ir 2.57
Mg  0.5000  0.0000  0.5000  2 Ir 2.47
Mg  0.8264  0.8264  0.0000  1 Ir 2.57
Sn  0.3705  0.3705  0.0000  5 Mg 2.91-3.13
Sn  0.6295  0.6295  0.0000  5 Mg 2.91-3.13
Ir  0.0000  0.0000  0.0000  6 Mg 2.47-2.57